1.
# La2PmPr2Nd4 GGA-PBE optimized geometry
# magnetization	0.0	μB per formula unit
# energy of formation from the pure elements	7	kJ/mol of formula units
# ρ	6.578	g/cm³
# Fermi-level density of states	26.24	states/eV per cell
data_La2PmPr2Nd4
_symmetry_space_group_name_H-M 'C 1 2/m 1'
_symmetry_Int_Tables_number 12
_symmetry_space_group_name_Hall '-C 2y'
_cell_length_a 19.3759
_cell_length_b 3.7349
_cell_length_c 9.9223
_cell_angle_alpha 90.00
_cell_angle_beta 115.69
_cell_angle_gamma 90.00
loop_
_atom_site_label
_atom_site_type_symbol
_atom_site_fract_x
_atom_site_fract_y
_atom_site_fract_z
_atom_site_occupancy
La1 La 0.1660 0.0000 0.9997 1
Pm1 Pm 0.0000 0.5000 0.0000 1
Pr1 Pr 0.1478 0.5000 0.6667 1
Nd1 Nd 0.0187 0.0000 0.3312 1
Nd2 Nd 0.1849 0.5000 0.3331 1

---

2.
# LaPmPrNd3 GGA-PBE optimized geometry
# magnetization	0.0	μB per formula unit
# energy of formation from the pure elements	85	kJ/mol of formula units
# ρ	6.649	g/cm³
# Fermi-level density of states	32.34	states/eV per cell
data_LaPmPrNd3
_symmetry_space_group_name_H-M 'C 1 2/m 1'
_symmetry_Int_Tables_number 12
_symmetry_space_group_name_Hall '-C 2y'
_cell_length_a 20.8985
_cell_length_b 5.8530
_cell_length_c 7.0037
_cell_angle_alpha 90.00
_cell_angle_beta 90.46
_cell_angle_gamma 90.00
loop_
_atom_site_label
_atom_site_type_symbol
_atom_site_fract_x
_atom_site_fract_y
_atom_site_fract_z
_atom_site_occupancy
La1 La 0.1463 0.0000 0.0323 1
Pm1 Pm 0.1457 0.0000 0.4744 1
Pr1 Pr 0.0561 0.5000 0.2587 1
Nd1 Nd 0.0199 0.0000 0.7496 1
Nd2 Nd 0.1621 0.5000 0.7450 1
Nd3 Nd 0.2200 0.5000 0.2532 1

---

3.
# LaPmPr2Nd2 GGA-PBE optimized geometry
# magnetization	0.0	μB per formula unit
# energy of formation from the pure elements	25	kJ/mol of formula units
# ρ	6.634	g/cm³
# Fermi-level density of states	17.38	states/eV per cell
data_LaPmPr2Nd2
_symmetry_space_group_name_H-M 'P m c 21'
_symmetry_Int_Tables_number 26
_symmetry_space_group_name_Hall 'P 2c -2'
_cell_length_a 5.8710
_cell_length_b 10.1147
_cell_length_c 7.2009
_cell_angle_alpha 90.00
_cell_angle_beta 90.00
_cell_angle_gamma 90.00
loop_
_atom_site_label
_atom_site_type_symbol
_atom_site_fract_x
_atom_site_fract_y
_atom_site_fract_z
_atom_site_occupancy
La1 La 0.0000 0.9998 0.0000 1
Pm1 Pm 0.5000 0.1663 0.2498 1
Pr1 Pr 0.0000 0.3323 0.7508 1
Pr2 Pr 0.5000 0.5001 0.0004 1
Nd1 Nd 0.0000 0.3330 0.2506 1
Nd2 Nd 0.5000 0.1676 0.7500 1

---

4.
# LaPm4PrNd2 GGA-PBE optimized geometry
# magnetization	0.0	μB per formula unit
# energy of formation from the pure elements	12	kJ/mol of formula units
# ρ	6.753	g/cm³
# Fermi-level density of states	13.59	states/eV per cell
data_LaPm4PrNd2
_symmetry_space_group_name_H-M 'P 1 2/m 1'
_symmetry_Int_Tables_number 10
_symmetry_space_group_name_Hall '-P 2y'
_cell_length_a 6.3704
_cell_length_b 3.6890
_cell_length_c 12.2134
_cell_angle_alpha 90.00
_cell_angle_beta 100.31
_cell_angle_gamma 90.00
loop_
_atom_site_label
_atom_site_type_symbol
_atom_site_fract_x
_atom_site_fract_y
_atom_site_fract_z
_atom_site_occupancy
La1 La 0.0000 0.0000 0.0000 1
Pm1 Pm 0.2493 0.0000 0.7488 1
Pm2 Pm 0.2505 0.5000 0.2517 1
Pr1 Pr 0.5000 0.5000 0.0000 1
Nd1 Nd 0.0000 0.5000 0.5000 1
Nd2 Nd 0.5000 0.0000 0.5000 1

---

5.
# La2Pm6Pr3Nd GGA-PBE optimized geometry
# magnetization	0.0	μB per formula unit
# energy of formation from the pure elements	15	kJ/mol of formula units
# ρ	6.691	g/cm³
# Fermi-level density of states	38.55	states/eV per cell
data_La2Pm6Pr3Nd
_symmetry_space_group_name_H-M 'C 1 2/m 1'
_symmetry_Int_Tables_number 12
_symmetry_space_group_name_Hall '-C 2y'
_cell_length_a 6.3969
_cell_length_b 11.0888
_cell_length_c 12.1895
_cell_angle_alpha 90.00
_cell_angle_beta 100.15
_cell_angle_gamma 90.00
loop_
_atom_site_label
_atom_site_type_symbol
_atom_site_fract_x
_atom_site_fract_y
_atom_site_fract_z
_atom_site_occupancy
La1 La 0.0000 0.1666 0.0000 1
Pm1 Pm 0.2493 0.5000 0.7495 1
Pm2 Pm 0.2500 0.1664 0.7495 1
Pr1 Pr 0.0000 0.0000 0.5000 1
Pr2 Pr 0.0000 0.3335 0.5000 1
Nd1 Nd 0.0000 0.5000 0.0000 1

---

6.
# La4Pm2PrNd GGA-PBE optimized geometry
# magnetization	0.0	μB per formula unit
# energy of formation from the pure elements	9	kJ/mol of formula units
# ρ	6.524	g/cm³
# Fermi-level density of states	14.39	states/eV per cell
data_La4Pm2PrNd
_symmetry_space_group_name_H-M 'P 1 2/m 1'
_symmetry_Int_Tables_number 10
_symmetry_space_group_name_Hall '-P 2y'
_cell_length_a 6.4257
_cell_length_b 3.7141
_cell_length_c 12.2523
_cell_angle_alpha 90.00
_cell_angle_beta 100.19
_cell_angle_gamma 90.00
loop_
_atom_site_label
_atom_site_type_symbol
_atom_site_fract_x
_atom_site_fract_y
_atom_site_fract_z
_atom_site_occupancy
La1 La 0.2484 0.0000 0.2500 1
La2 La 0.2493 0.5000 0.7490 1
Pm1 Pm 0.0000 0.0000 0.5000 1
Pm2 Pm 0.0000 0.5000 0.0000 1
Pr1 Pr 0.5000 0.0000 0.0000 1
Nd1 Nd 0.5000 0.5000 0.5000 1